Here is a relaxed structure of ReTe2Ru from the Alexandria database. Energies are from GGA-PBE.

a b c (Å): 4.691 4.691 4.691
angles (deg): 60.00 60.00 60.00
Sites, in units of the cell vectors:
Re 0.000 0.000 0.000
Te 0.250 0.250 0.250
Te 0.750 0.750 0.750
Ru 0.500 0.500 0.500

Properties
ΔE_f (raw) (eV per atom): 0.619
Fermi-level density of states (states/eV per atom): 1.32
V (Å³/cell): 73.00
Symmetry: Fm-3m
Offset from the most stable computed form (meV per atom): 321.4
E (eV/atom): -6.383